1.
Pr3PaAs4: relaxed, PBE.

Unit cell a=4.2472 b=7.3528 c=7.3528 alpha=109.39 beta=90.00 gamma=90.00
Closest atoms and distances in Å follow each position.
Fractional positions:
As 0.5000 0.7583 0.2417  1 Pa 2.90, 5 Pr 3.01-3.10
Pr 0.0000 0.0000 0.5000  6 As 3.00-3.01
As 0.0000 0.2370 0.2370  2 Pa 2.93, 4 Pr 3.00-3.08
Pr 0.0000 0.5000 0.0000  6 As 3.00-3.01
As 0.5000 0.2417 0.7583  1 Pa 2.90, 5 Pr 3.01-3.10
Pr 0.5000 0.5000 0.5000  6 As 3.08-3.10
As 0.0000 0.7630 0.7630  2 Pa 2.93, 4 Pr 3.00-3.08
Pa 0.5000 0.0000 0.0000  6 As 2.90-2.93

Calculated values
The formation energy from the elements comes out at -1.394 eV/atom. The calculation puts the total energy at -6.70 eV per atom. The energy relative to the lowest polymorph listed for this composition is 0 meV/atom. The value obtained for the magnetic moment is 0.00 μB/atom.

=====

2.
Pr2PuPaAs4: relaxed, PBE.

Unit cell a=4.2086 b=7.2703 c=7.3096 alpha=109.43 beta=90.00 gamma=90.00
Closest atoms and distances in Å follow each position.
Fractional positions:
As 0.0000 0.2592 0.7656  2 Pa 2.90, 1 Pu 2.94, 3 Pr 3.02-3.05
Pa 0.5000 0.5000 0.0000  6 As 2.89-2.90
As 0.5000 0.7510 0.7653  1 Pa 2.89, 2 Pu 2.93, 3 Pr 3.03-3.06
Pr 0.5000 0.0000 0.5000  6 As 3.05-3.06
Pu 0.0000 0.0000 0.0000  6 As 2.93-2.94
As 0.0000 0.7408 0.2344  2 Pa 2.90, 1 Pu 2.94, 3 Pr 3.02-3.05
As 0.5000 0.2490 0.2347  1 Pa 2.89, 2 Pu 2.93, 3 Pr 3.03-3.06
Pr 0.0000 0.5000 0.5000  6 As 3.02-3.03

Calculated values
The formation energy from the elements comes out at -1.285 eV/atom. The calculation puts the total energy at -7.78 eV per atom. The value obtained for the magnetic moment is 0.70 μB/atom.

=====

3.
Pr3Pu2PaAs6: relaxed, PBE.

Unit cell a=7.2983 b=7.2983 c=7.3135 alpha=99.58 beta=99.58 gamma=119.99
Closest atoms and distances in Å follow each position.
Fractional positions:
Pr 0.1681 0.8319 0.5000  6 As 3.03-3.06
Pu 0.6663 0.3337 0.0000  6 As 2.94
As 0.2496 0.2496 0.7644  1 Pa 2.89, 2 Pu 2.94, 3 Pr 3.04-3.07
As 0.5935 0.9217 0.7647  1 Pa 2.89, 2 Pu 2.94, 3 Pr 3.03-3.06
Pu 0.3337 0.6663 0.0000  6 As 2.94
As 0.9217 0.5935 0.7647  1 Pa 2.89, 2 Pu 2.94, 3 Pr 3.03-3.06
As 0.7504 0.7504 0.2356  1 Pa 2.89, 2 Pu 2.94, 3 Pr 3.04-3.07
Pr 0.5000 0.5000 0.5000  6 As 3.03-3.07
Pa 0.0000 0.0000 0.0000  6 As 2.89
As 0.0783 0.4065 0.2353  1 Pa 2.89, 2 Pu 2.94, 3 Pr 3.03-3.06
Pr 0.8319 0.1681 0.5000  6 As 3.03-3.06
As 0.4065 0.0783 0.2353  1 Pa 2.89, 2 Pu 2.94, 3 Pr 3.03-3.06

Calculated values
The formation energy from the elements comes out at -1.280 eV/atom. The calculation puts the total energy at -7.98 eV per atom. The value obtained for the magnetic moment is 0.91 μB/atom.

=====

4.
Pr2PuPa3As6: relaxed, PBE.

Unit cell a=4.1676 b=8.3404 c=9.3271 alpha=103.00 beta=102.91 gamma=90.00
Closest atoms and distances in Å follow each position.
Fractional positions:
As 0.6680 0.0743 0.3360  3 Pa 2.88-2.92, 1 Pu 2.97, 2 Pr 3.01
Pr 0.8339 0.6665 0.6677  6 As 3.01-3.02
As 0.3320 0.9257 0.6640  3 Pa 2.88-2.92, 1 Pu 2.97, 2 Pr 3.01
Pa 0.8328 0.1647 0.6656  6 As 2.88-2.92
As 0.6631 0.5938 0.3261  3 Pa 2.89, 3 Pr 3.02
Pr 0.1661 0.3335 0.3323  6 As 3.01-3.02
As 0.9962 0.2522 0.9924  3 Pa 2.89-2.92, 2 Pu 2.97, 1 Pr 3.01
As 0.3369 0.4062 0.6739  3 Pa 2.89, 3 Pr 3.02
Pa 0.5000 0.5000 0.0000  6 As 2.89-2.92
Pu 0.5000 0.0000 0.0000  6 As 2.97
Pa 0.1672 0.8353 0.3344  6 As 2.88-2.92
As 0.0038 0.7478 0.0076  3 Pa 2.89-2.92, 2 Pu 2.97, 1 Pr 3.01

Calculated values
The formation energy from the elements comes out at -1.206 eV/atom. The calculation puts the total energy at -7.90 eV per atom. The value obtained for the magnetic moment is 0.50 μB/atom.